<a>
This record from Alexandria describes MgTl2Cu after structural relaxation. The functional is PBE.

abc: 3.3058 4.6797 12.0656
angles: 90.00 90.00 90.00
With the nearest neighbours (Å) after each atom.
Element x y z (fractional)
1 Mg 0.0000 0.0000 0.0000  2 Cu 2.76
2 Mg 0.5000 0.5000 0.5000  2 Cu 2.76
3 Tl 0.0000 0.0000 0.3958  2 Cu 3.06, 4 Mg 3.13, 4 Tl 3.31-3.42
4 Tl 0.0000 0.5000 0.1891  4 Cu 2.87
5 Tl 0.5000 0.0000 0.6891  4 Cu 2.87
6 Tl 0.5000 0.5000 0.8958  2 Cu 3.06, 4 Mg 3.13, 4 Tl 3.31-3.42
7 Cu 0.0000 0.5000 0.6827  2 Mg 2.76, 6 Tl 2.87-3.06
8 Cu 0.5000 0.0000 0.1827  2 Mg 2.76, 6 Tl 2.87-3.06

Values from the calculation:
The crystal system is orthorhombic. As for the space-group type: Imm2 (44).


<b>
This record from Alexandria describes MgTl2Cu after structural relaxation. The functional is PBE.

abc: 9.1574 3.6017 5.7077
angles: 90.00 104.85 90.00
With the nearest neighbours (Å) after each atom.
Element x y z (fractional)
1 Mg 0.0000 0.0000 0.0000  6 Tl 2.97-3.08
2 Mg 0.5000 0.5000 0.0000  6 Tl 2.97-3.08
3 Tl 0.2371 0.0000 0.7297  3 Cu 2.87-3.02, 3 Mg 2.97-3.08
4 Tl 0.2629 0.5000 0.2703  3 Cu 2.87-3.02, 3 Mg 2.97-3.08
5 Tl 0.7371 0.5000 0.7297  3 Cu 2.87-3.02, 3 Mg 2.97-3.08
6 Tl 0.7629 0.0000 0.2703  3 Cu 2.87-3.02, 3 Mg 2.97-3.08
7 Cu 0.0000 0.5000 0.5000  6 Tl 2.87-3.02
8 Cu 0.5000 0.0000 0.5000  6 Tl 2.87-3.02

Values from the calculation:
The crystal system is monoclinic. As for the space-group type: C2/m (12).


Referenced to the most stable arrangement, the calculated values in eV/atom are <a> 0.000; <b> 0.036.


<a>
This record from Alexandria describes MgTl2Cu after structural relaxation. The functional is PBE.

abc: 3.4816 3.4816 27.2551
angles: 90.00 90.00 120.00
With the nearest neighbours (Å) after each atom.
Element x y z (fractional)
1 Mg 0.0000 0.0000 0.0000  3 Cu 2.68
2 Mg 0.3333 0.6667 0.6667  3 Cu 2.68
3 Mg 0.6667 0.3333 0.3333  3 Cu 2.68
4 Tl 0.0000 0.0000 0.2415  3 Mg 3.21, 9 Tl 3.47-3.48
5 Tl 0.0000 0.0000 0.4710  3 Cu 2.82
6 Tl 0.3333 0.6667 0.1377  3 Cu 2.82
7 Tl 0.3333 0.6667 0.9082  3 Mg 3.21, 9 Tl 3.47-3.48
8 Tl 0.6667 0.3333 0.5749  3 Mg 3.21, 9 Tl 3.47-3.48
9 Tl 0.6667 0.3333 0.8043  3 Cu 2.82
10 Cu 0.0000 0.0000 0.7320  3 Mg 2.68, 3 Tl 2.82
11 Cu 0.3333 0.6667 0.3986  3 Mg 2.68, 3 Tl 2.82
12 Cu 0.6667 0.3333 0.0653  3 Mg 2.68, 3 Tl 2.82

Values from the calculation:
The crystal system is trigonal. As for the space-group type: R3m (160).


<b>
This record from Alexandria describes MgTl2Cu after structural relaxation. The functional is PBE.

abc: 8.0378 8.0378 6.1126
angles: 90.00 90.00 90.00
With the nearest neighbours (Å) after each atom.
Element x y z (fractional)
1 Mg 0.0000 0.0000 0.0000  2 Cu 3.06, 4 Tl 3.20
2 Mg 0.0000 0.5000 0.2500  2 Cu 3.06, 4 Tl 3.20
3 Mg 0.5000 0.0000 0.7500  2 Cu 3.06, 4 Tl 3.20
4 Mg 0.5000 0.5000 0.5000  2 Cu 3.06, 4 Tl 3.20
5 Tl 0.2051 0.2500 0.6250  2 Cu 2.71
6 Tl 0.2500 0.7051 0.8750  2 Cu 2.71
7 Tl 0.2500 0.7949 0.3750  2 Cu 2.71
8 Tl 0.2949 0.2500 0.1250  2 Cu 2.71
9 Tl 0.7051 0.7500 0.1250  2 Cu 2.71
10 Tl 0.7500 0.2051 0.3750  2 Cu 2.71
11 Tl 0.7500 0.2949 0.8750  2 Cu 2.71
12 Tl 0.7949 0.7500 0.6250  2 Cu 2.71
13 Cu 0.0000 0.0000 0.5000  4 Tl 2.71
14 Cu 0.0000 0.5000 0.7500  4 Tl 2.71
15 Cu 0.5000 0.0000 0.2500  4 Tl 2.71
16 Cu 0.5000 0.5000 0.0000  4 Tl 2.71

Values from the calculation:
The crystal system is tetragonal. As for the space-group type: I-42d (122).


<c>
This record from Alexandria describes MgTl2Cu after structural relaxation. The functional is PBE.

abc: 4.3461 4.3461 9.5599
angles: 90.00 90.00 90.00
With the nearest neighbours (Å) after each atom.
Element x y z (fractional)
1 Mg 0.0000 0.0000 0.0000  8 Tl 3.07-3.23, 4 Cu 3.23
2 Mg 0.5000 0.5000 0.5000  8 Tl 3.07-3.23, 4 Cu 3.23
3 Tl 0.0000 0.0000 0.5000  4 Mg 3.07, 4 Tl 3.23, 4 Cu 3.23
4 Tl 0.0000 0.5000 0.7500  4 Cu 3.07, 4 Tl 3.23, 4 Mg 3.23
5 Tl 0.5000 0.0000 0.2500  4 Cu 3.07, 4 Tl 3.23, 4 Mg 3.23
6 Tl 0.5000 0.5000 0.0000  4 Mg 3.07, 4 Tl 3.23, 4 Cu 3.23
7 Cu 0.0000 0.5000 0.2500  8 Tl 3.07-3.23, 4 Mg 3.23
8 Cu 0.5000 0.0000 0.7500  8 Tl 3.07-3.23, 4 Mg 3.23

Values from the calculation:
The crystal system is tetragonal. As for the space-group type: I-4m2 (119).


<d>
This record from Alexandria describes MgTl2Cu after structural relaxation. The functional is PBE.

abc: 3.4833 3.4833 26.2609
angles: 90.00 90.00 120.00
With the nearest neighbours (Å) after each atom.
Element x y z (fractional)
1 Mg 0.0000 0.0000 0.0000  6 Tl 3.15, 6 Mg 3.48
2 Mg 0.3333 0.6667 0.6667  6 Tl 3.15, 6 Mg 3.48
3 Mg 0.6667 0.3333 0.3333  6 Tl 3.15, 6 Mg 3.48
4 Tl 0.0000 0.0000 0.2411  3 Cu 2.80
5 Tl 0.0000 0.0000 0.7589  3 Cu 2.80
6 Tl 0.3333 0.6667 0.4256  3 Cu 2.80
7 Tl 0.3333 0.6667 0.9078  3 Cu 2.80
8 Tl 0.6667 0.3333 0.0922  3 Cu 2.80
9 Tl 0.6667 0.3333 0.5744  3 Cu 2.80
10 Cu 0.0000 0.0000 0.5000  6 Tl 2.80
11 Cu 0.3333 0.6667 0.1667  6 Tl 2.80
12 Cu 0.6667 0.3333 0.8333  6 Tl 2.80

Values from the calculation:
The crystal system is trigonal. As for the space-group type: R-3m (166).


Referenced to the most stable arrangement, the calculated values in eV/atom are <a> 0.000; <b> 0.087; <c> 0.051; <d> 0.012.


<a>
This record from Alexandria describes MgTl2Cu after structural relaxation. The functional is PBE.

abc: 7.0987 7.0987 7.0987
angles: 90.00 90.00 90.00
With the nearest neighbours (Å) after each atom.
Element x y z (fractional)
1 Mg 0.0000 0.0000 0.0000  8 Tl 3.07
2 Mg 0.0000 0.5000 0.5000  8 Tl 3.07
3 Mg 0.5000 0.0000 0.5000  8 Tl 3.07
4 Mg 0.5000 0.5000 0.0000  8 Tl 3.07
5 Tl 0.2500 0.2500 0.2500  4 Mg 3.07, 4 Cu 3.07
6 Tl 0.2500 0.2500 0.7500  4 Mg 3.07, 4 Cu 3.07
7 Tl 0.2500 0.7500 0.2500  4 Mg 3.07, 4 Cu 3.07
8 Tl 0.2500 0.7500 0.7500  4 Mg 3.07, 4 Cu 3.07
9 Tl 0.7500 0.2500 0.2500  4 Mg 3.07, 4 Cu 3.07
10 Tl 0.7500 0.2500 0.7500  4 Mg 3.07, 4 Cu 3.07
11 Tl 0.7500 0.7500 0.2500  4 Mg 3.07, 4 Cu 3.07
12 Tl 0.7500 0.7500 0.7500  4 Mg 3.07, 4 Cu 3.07
13 Cu 0.0000 0.0000 0.5000  8 Tl 3.07
14 Cu 0.0000 0.5000 0.0000  8 Tl 3.07
15 Cu 0.5000 0.0000 0.0000  8 Tl 3.07
16 Cu 0.5000 0.5000 0.5000  8 Tl 3.07

Values from the calculation:
The crystal system is cubic. As for the space-group type: Fm-3m (225).


<b>
This record from Alexandria describes MgTl2Cu after structural relaxation. The functional is PBE.

abc: 3.7224 4.4851 5.8081
angles: 90.00 107.99 90.00
With the nearest neighbours (Å) after each atom.
Element x y z (fractional)
1 Mg 0.0000 0.0000 0.0000  2 Cu 2.75, 5 Tl 3.05-3.08
2 Tl 0.2795 0.0000 0.5593  4 Cu 3.03, 3 Mg 3.05-3.09
3 Tl 0.5877 0.5000 0.1756  3 Cu 2.96-3.19, 4 Mg 3.06-3.08
4 Cu 0.8528 0.5000 0.7114  2 Mg 2.75, 5 Tl 2.96-3.03

Values from the calculation:
The crystal system is monoclinic. As for the space-group type: Pm (6).


Referenced to the most stable arrangement, the calculated values in eV/atom are <a> 0.040; <b> 0.000.


<a>
This record from Alexandria describes MgZrTlCu2 after structural relaxation. The functional is PBE.

abc: 4.9805 4.9805 5.7562
angles: 90.00 90.00 90.00
With the nearest neighbours (Å) after each atom.
Element x y z (fractional)
1 Mg 0.0000 0.0000 0.0000  2 Zr 2.88
2 Zr 0.0000 0.0000 0.5000  4 Cu 2.49
3 Tl 0.5000 0.5000 0.0000  4 Mg 3.52, 8 Cu 3.81
4 Cu 0.0000 0.5000 0.5000  2 Zr 2.49
5 Cu 0.5000 0.0000 0.5000  2 Zr 2.49

Values from the calculation:
The crystal system is tetragonal. As for the space-group type: P4/mmm (123).


<b>
This record from Alexandria describes MgZrTlCu2 after structural relaxation. The functional is PBE.

abc: 4.9660 4.9660 5.6363
angles: 90.00 90.00 90.00
With the nearest neighbours (Å) after each atom.
Element x y z (fractional)
1 Mg 0.0000 0.0000 0.0000  4 Tl 3.51, 8 Cu 3.76
2 Zr 0.5000 0.5000 0.5000  4 Cu 2.48
3 Tl 0.5000 0.5000 0.0000  2 Zr 2.82
4 Cu 0.0000 0.5000 0.5000  2 Zr 2.48
5 Cu 0.5000 0.0000 0.5000  2 Zr 2.48

Values from the calculation:
The crystal system is tetragonal. As for the space-group type: P4/mmm (123).


Referenced to the most stable arrangement, the calculated values in eV/atom are <a> 0.069; <b> 0.000.